No. 1
BaSbHI2 | PBEsol | relaxed

Output
The uncorrected energy comes out at -2.479 eV/atom. Its space group is No. 123. The density of states at the Fermi level is 0.474 states/eV per atom.

Lattice parameters (Å, degrees): 6.608 6.608 7.421 90.00 90.00 90.00
Fractional positions:
Ba  0.000  0.000  0.000
Sb  0.000  0.000  0.500
H  0.500  0.500  0.500
I  0.000  0.500  0.000
I  0.500  0.000  0.000

***

No. 2
KZrB3 | PBEsol | relaxed

Output
The uncorrected energy comes out at -3.577 eV/atom. Its space group is No. 221. The density of states at the Fermi level is 0.814 states/eV per atom.

Lattice parameters (Å, degrees): 4.177 4.177 4.177 90.00 90.00 90.00
Fractional positions:
K  0.000  0.000  0.000
Zr  0.500  0.500  0.500
B  0.000  0.000  0.500
B  0.000  0.500  0.000
B  0.500  0.000  0.000

***

No. 3
K3FeSb | PBEsol | relaxed

Output
The raw formation energy is 0.852 eV per atom. The uncorrected energy comes out at -2.533 eV/atom. Its space group is No. 221. The density of states at the Fermi level is 1.599 states/eV per atom.

Lattice parameters (Å, degrees): 5.945 5.945 5.945 90.00 90.00 90.00
Fractional positions:
K  0.000  0.000  0.500
K  0.000  0.500  0.000
K  0.500  0.000  0.000
Fe  0.000  0.000  0.000
Sb  0.500  0.500  0.500

***

No. 4
BeAg2As | PBEsol | relaxed

Output
The uncorrected energy comes out at -3.679 eV/atom. Its space group is No. 71. The density of states at the Fermi level is 0.279 states/eV per atom. As for the excess energy over the best structure of this formula in the dataset: 61 meV per atom.

Lattice parameters (Å, degrees): 5.278 5.278 5.278 146.76 129.75 61.59
Fractional positions:
Be  0.000  0.000  0.000
Ag  0.213  0.713  0.500
Ag  0.787  0.287  0.500
As  0.500  0.500  0.000

***

Q: Number 4 is which compound?
A: BeAg2As

***

Q: The lowest uncorrected energy belongs to which entry?
A: BeAg2As

***

Q: Look up the uncorrected energy of the fourth one.
A: -3.679 eV/atom

***

Q: What is the uncorrected energy in the second record?
A: -3.577 eV/atom